No. 1
The following is a PBE calculation of a relaxed RbHfB crystal, from Alexandria via LeMat-Bulk.

Properties
crystal system	monoclinic
energy relative to the elements	329	meV/atom
offset from the most stable computed form	284	meV per atom
V	36.88	Å³/atom
space-group type	P2_1/m

```
6
Lattice="-3.4214 -1.9215 -1.9815 2.7103 -2.9440 -1.8249 -2.7757 -7.6606 8.2361" Properties=species:S:1:pos:R:3 pbc="T T T"
B -3.3911 -6.5735 2.9184
B -0.0958 -5.9526 1.5113
Hf -1.5661 -5.0467 3.1658
Hf -1.9208 -7.4794 1.2639
Rb -2.9089 -4.1314 -0.3051
Rb -0.5780 -8.3947 4.7348
```

---

No. 2
The following is a PBE calculation of a relaxed PrYHoZr crystal, from Alexandria via LeMat-Bulk.

Properties
crystal system	cubic
energy relative to the elements	227	meV/atom
V	30.14	Å³/atom
space-group type	F-43m

```
4
Lattice="5.5449 0.0000 0.0000 2.7725 4.8021 0.0000 2.7725 1.6007 4.5274" Properties=species:S:1:pos:R:3 pbc="T T T"
Pr 5.5449 3.2014 2.2637
Y 8.3174 4.8021 3.3956
Ho 2.7725 1.6007 1.1319
Zr 0.0000 0.0000 0.0000
```

---

No. 3
The following is a PBE calculation of a relaxed LiCaTeH crystal, from Alexandria via LeMat-Bulk.

Properties
crystal system	monoclinic
offset from the most stable computed form	33	meV per atom
V	24.27	Å³/atom
space-group type	Pm

```
4
Lattice="-2.8273 -2.1025 2.8154 3.6527 -1.1068 2.8416 -0.5598 3.8921 2.2356" Properties=species:S:1:pos:R:3 pbc="T T T"
Li -2.4997 -1.2185 2.7386
Ca 0.0711 0.2674 3.9967
Te 1.1759 3.1894 3.7148
H -1.8834 0.4823 2.6088
```

---

No. 4
The following is a PBE calculation of a relaxed K2ReMo crystal, from Alexandria via LeMat-Bulk.

Properties
crystal system	cubic
energy relative to the elements	1859	meV/atom
offset from the most stable computed form	1008	meV per atom
V	21.07	Å³/atom
space-group type	F-43m

```
4
Lattice="-0.0370 3.6456 -3.3067 1.7988 -3.0660 -3.4045 -4.1196 -1.1622 2.4301" Properties=species:S:1:pos:R:3 pbc="T T T"
K 0.0000 0.0000 0.0000
K -0.7199 -1.9692 -2.1650
Mo 0.8809 0.2898 -3.3556
Re -1.6378 1.3866 -2.1162
```

---

No. 5
The following is a PBE calculation of a relaxed LaZnPb2 crystal, from Alexandria via LeMat-Bulk.

Properties
crystal system	orthorhombic
energy relative to the elements	-298	meV/atom
V	28.07	Å³/atom
space-group type	Immm

```
4
Lattice="6.1466 -0.0041 -0.0349 2.6330 5.5541 0.0349 -4.3662 -2.8123 3.2877" Properties=species:S:1:pos:R:3 pbc="T T T"
La 1.3283 2.7584 1.6613
Pb 8.7762 5.5479 0.0000
Pb 4.3930 2.7771 0.0000
Zn 3.0851 -0.0207 1.6264
```

---

No. 6
The following is a PBE calculation of a relaxed RbBP3 crystal, from Alexandria via LeMat-Bulk.

Properties
crystal system	cubic
energy relative to the elements	893	meV/atom
offset from the most stable computed form	0	meV per atom
V	18.21	Å³/atom
space-group type	Pm-3m

```
5
Lattice="-3.6223 2.6374 -0.4003 -2.6631 -3.6145 0.2840 -0.1551 0.4657 4.4717" Properties=species:S:1:pos:R:3 pbc="T T T"
P -1.3316 -1.8072 0.1420
P -0.0775 0.2328 2.2359
P -1.8112 1.3187 -0.2001
B 0.0000 0.0000 0.0000
Rb -3.2203 -0.2557 2.1777
```

---

No. 7
The following is a PBE calculation of a relaxed Rb2NpHgI6 crystal, from Alexandria via LeMat-Bulk.

Properties
crystal system	trigonal
V	55.33	Å³/atom
space-group type	R3
energy relative to the elements, uncorrected	-0.99	eV/atom

```
10
Lattice="9.3883 0.3987 0.2871 4.7089 8.1317 0.2871 4.7089 2.8494 7.6215" Properties=species:S:1:pos:R:3 pbc="T T T"
Rb 4.0006 2.4208 1.7435
Rb 13.0034 7.8686 5.6670
Np 0.2267 0.1372 0.0988
Hg 9.5672 5.7893 4.1695
I 7.5766 3.3006 6.2931
I 6.4391 7.6105 2.9191
I 12.8094 4.1014 5.4912
I 11.7081 8.3279 2.1498
I 9.7292 3.4574 1.1361
I 9.5762 8.2012 7.2174
```

---

No. 8
The following is a PBE calculation of a relaxed Ac6S2N3Cl crystal, from Alexandria via LeMat-Bulk.

Properties
crystal system	monoclinic
V	24.54	Å³/atom
space-group type	C2/m
energy relative to the elements, uncorrected	-1.51	eV/atom

```
12
Lattice="-2.5767 -1.5363 -2.6463 1.3829 -7.7412 3.1475 -5.6684 4.5027 5.9288" Properties=species:S:1:pos:R:3 pbc="T T T"
Ac -3.1841 -4.8576 5.9204
Ac -2.6875 -4.2242 2.0456
Ac -3.6781 0.0828 0.5097
Ac -7.7005 0.7164 4.0585
Ac 0.8384 -5.4912 2.3716
Ac -4.1747 -0.5506 4.3845
S -5.0483 -3.4665 3.9044
S -1.8139 -1.3083 2.5257
N -0.5969 -4.6387 0.2506
N -5.6571 0.4181 2.2420
N -1.2051 -5.1929 4.1881
Cl -1.2883 -0.7681 -1.3232
```

---

No. 9
The following is a PBE calculation of a relaxed ScTi2Pd7 crystal, from Alexandria via LeMat-Bulk.

Properties
crystal system	orthorhombic
energy relative to the elements	-128	meV/atom
V	19.72	Å³/atom
space-group type	Cmmm

```
10
Lattice="-0.2588 -4.2305 0.2057 1.8108 -0.4599 -7.1813 5.0891 -0.0488 5.4001" Properties=species:S:1:pos:R:3 pbc="T T T"
Sc 0.0000 0.0000 0.0000
Ti 2.6854 -2.4492 -3.2252
Ti 3.9556 -2.2899 1.6496
Pd 2.5064 -0.3726 -4.5116
Pd 4.3935 -0.1360 2.7304
Pd 1.5196 -2.1640 1.1754
Pd 5.1215 -2.5752 -2.7510
Pd 0.7880 -2.2557 -1.6323
Pd 5.8531 -2.4834 0.0567
Pd 3.3205 -2.3696 -0.7878
```

---

No. 10
The following is a PBE calculation of a relaxed BeP2Os crystal, from Alexandria via LeMat-Bulk.

Properties
crystal system	monoclinic
energy relative to the elements	92	meV/atom
V	14.82	Å³/atom
space-group type	Pm

```
4
Lattice="3.6839 0.0000 0.0000 0.0000 3.0425 -0.0011 0.0000 0.0844 5.2903" Properties=species:S:1:pos:R:3 pbc="T T T"
P 0.0000 2.7129 4.9536
P 1.8420 1.1943 1.6600
Os 1.8420 2.7150 3.4370
Be 0.0000 1.1951 3.1723
```

---

No. 11
The following is a PBE calculation of a relaxed NaIn2Ge crystal, from Alexandria via LeMat-Bulk.

Properties
crystal system	monoclinic
energy relative to the elements	-22	meV/atom
V	27.45	Å³/atom
space-group type	P2_1/m

```
8
Lattice="-0.8724 3.2895 3.2029 -5.1074 -2.1970 0.8653 2.9457 -5.0385 5.9770" Properties=species:S:1:pos:R:3 pbc="T T T"
Na -0.6674 -2.7840 7.7917
Na -2.3667 -1.1620 2.2535
In -5.4332 -0.2333 3.8740
In 2.3991 -3.7127 6.1712
In -3.2684 -1.5361 5.8016
In 0.2343 -2.4099 4.2436
Ge -1.0351 0.0308 4.8006
Ge -1.9989 -3.9768 5.2446
```

---

No. 12
The following is a PBE calculation of a relaxed Ba2MnHg crystal, from Alexandria via LeMat-Bulk.

Properties
crystal system	trigonal
energy relative to the elements	42	meV/atom
offset from the most stable computed form	0	meV per atom
V	41.82	Å³/atom
space-group type	R3m

```
4
Lattice="-6.1815 5.7913 -2.6478 -7.5289 4.3727 1.7197 -4.1640 7.7402 1.2296" Properties=species:S:1:pos:R:3 pbc="T T T"
Ba -0.6485 0.6496 0.0109
Ba -3.8189 3.8252 0.0644
Hg -8.1847 8.1983 0.1381
Mn -14.1595 14.1831 0.2389
```